Compound: NaCd3Br
Source: Alexandria via LeMat-Bulk
Functional: PBE-GGA
Structure: optimized geometry

The crystal system is cubic. The calculation puts the density of states at the Fermi level at 2.6 states/eV/cell. The value obtained for the total energy is -0.0752 Ry/atom. For the energy above the most stable polymorph in this dataset, the calculation gives 0 meV/atom. Its size of the total moment is 0.000 μB/f.u.

The space group is Pm-3m (No. 221) and the conventional cell measures 5.803, 5.803 and 5.803 Å, with angles of 90.00, 90.00 and 90.00 degrees. The inequivalent atoms are Na at (0.000, 0.000, 0.000), Cd at (0.000, 0.000, 0.500) and Br at (0.500, 0.500, 0.500).